Density functional theory data (GGA-PBE) for Se2O5 after structural relaxation.

```
28
Lattice="7.059 0.000 0.000 0.000 4.914 -0.012 0.000 0.192 13.989" Properties=species:S:1:pos:R:3 pbc="T T T"
Se 5.443 1.901 5.019
Se 5.146 1.997 12.013
Se 1.617 3.205 8.958
Se 5.152 2.479 1.774
Se 1.907 2.627 12.203
Se 1.622 2.531 5.208
Se 1.913 3.109 1.964
Se 5.437 2.575 8.769
O 5.187 1.397 3.155
O 1.317 3.520 6.480
O 5.200 3.610 12.035
O 6.781 3.657 9.080
O 2.934 1.554 5.262
O 3.251 1.545 11.892
O 1.860 1.496 1.943
O 4.847 1.490 0.502
O 0.595 1.650 12.256
O 3.808 3.561 2.086
O 1.658 3.613 3.827
O 5.402 1.493 10.150
O 5.389 3.514 5.040
O 6.464 3.456 1.721
O 0.278 1.449 4.897
O 1.872 3.709 10.822
O 4.125 3.552 8.715
O 5.742 1.586 7.497
O 2.213 3.616 13.475
O 1.670 1.592 8.937
```

Output
Symmetry = P2_1/c, No. 14
Density = 3.3 Mg/m³
DFT total energy = -0.186 Ha/atom
Formation energy from raw total energies = -0.52 eV per atom